DFT (PBE with a Hubbard U) results for crystalline K3Dy3VO8 at its relaxed geometry.

```
15
Lattice="5.828 -3.367 0.000 5.828 3.367 0.000 -3.890 0.000 6.280" Properties=species:S:1:pos:R:3 pbc="T T T"
K 0.000 0.000 0.000
K 2.914 1.683 0.000
K 2.914 -1.683 0.000
Dy 0.969 1.683 3.140
Dy 0.969 -1.683 3.140
Dy 3.883 0.000 3.140
V -1.945 0.000 3.140
O -0.207 0.000 4.199
O 3.011 1.856 4.201
O 4.756 1.856 2.078
O 1.940 0.000 1.981
O 5.826 0.000 4.299
O 3.011 -1.856 4.201
O 4.756 -1.856 2.078
O 7.974 0.000 2.081
```

Values from the calculation:
space group	No. 12
magnetization	0.067	μB per atom
E_tot	-6.896	eV per atom
Fermi-level density of states	0.0	states/eV per cell